1.
# Ac3Pr5H12

A relaxed Ac3Pr5H12 crystal (PBE, Alexandria via LeMat-Bulk).

Lattice parameters (Å, degrees): 12.2845 12.2845 12.2845 109.47 109.47 109.47
Element x y z (fractional)
1 Ac 0.7500 0.3750 0.1250
2 Ac 0.8750 0.7500 0.1250
3 Ac 0.3750 0.7500 0.6250
4 Ac 0.2500 0.1250 0.3750
5 Ac 0.8750 0.1250 0.2500
6 Ac 0.3750 0.6250 0.2500
7 Ac 0.6250 0.3750 0.7500
8 Ac 0.1250 0.8750 0.7500
9 Ac 0.7500 0.8750 0.6250
10 Ac 0.6250 0.2500 0.3750
11 Ac 0.1250 0.2500 0.8750
12 Ac 0.2500 0.6250 0.8750
13 Pr 0.1250 0.3750 0.2500
14 Pr 0.0000 0.5000 0.0000
15 Pr 0.0000 0.0000 0.0000
16 Pr 0.3750 0.2500 0.1250
17 Pr 0.5000 0.0000 0.5000
18 Pr 0.5000 0.5000 0.0000
19 Pr 0.1250 0.7500 0.3750
20 Pr 0.7500 0.1250 0.8750
21 Pr 0.7500 0.6250 0.3750
22 Pr 0.3750 0.1250 0.7500
23 Pr 0.6250 0.8750 0.2500
24 Pr 0.5000 0.5000 0.5000
25 Pr 0.5000 0.0000 0.0000
26 Pr 0.0000 0.0000 0.5000
27 Pr 0.2500 0.3750 0.6250
28 Pr 0.2500 0.8750 0.1250
29 Pr 0.0000 0.5000 0.5000
30 Pr 0.8750 0.2500 0.6250
31 Pr 0.6250 0.7500 0.8750
32 Pr 0.8750 0.6250 0.7500
33 H 0.7211 0.1444 0.0601
34 H 0.3391 0.5601 0.4158
35 H 0.9399 0.3556 0.2789
36 H 0.5601 0.2211 0.1444
37 H 0.5767 0.7211 0.6609
38 H 0.9399 0.5842 0.1609
39 H 0.3391 0.7789 0.4233
40 H 0.0842 0.9233 0.1444
41 H 0.5842 0.9399 0.6609
42 H 0.7211 0.5767 0.1609
43 H 0.7789 0.4399 0.3556
44 H 0.8391 0.9158 0.0601
45 H 0.1444 0.7211 0.5601
46 H 0.3556 0.4158 0.0767
47 H 0.0767 0.9158 0.3556
48 H 0.4233 0.1444 0.5842
49 H 0.0767 0.1609 0.2211
50 H 0.4399 0.6609 0.0842
51 H 0.8391 0.9233 0.2789
52 H 0.1444 0.4233 0.0842
53 H 0.3556 0.9399 0.7789
54 H 0.5842 0.6444 0.4233
55 H 0.9158 0.8391 0.5601
56 H 0.7789 0.3391 0.9233
57 H 0.4158 0.3556 0.5767
58 H 0.0842 0.1609 0.4399
59 H 0.2211 0.6609 0.0767
60 H 0.1609 0.0767 0.7211
61 H 0.6444 0.0601 0.2211
62 H 0.8556 0.5767 0.9158
63 H 0.5601 0.3391 0.9158
64 H 0.5767 0.8556 0.4158
65 H 0.9233 0.8391 0.7789
66 H 0.9233 0.0842 0.6444
67 H 0.8556 0.2789 0.4399
68 H 0.1609 0.0842 0.9399
69 H 0.6444 0.5842 0.9233
70 H 0.4158 0.0601 0.3391
71 H 0.2789 0.4233 0.8391
72 H 0.2211 0.5601 0.6444
73 H 0.9158 0.0767 0.8556
74 H 0.6609 0.2211 0.5767
75 H 0.4399 0.7789 0.8556
76 H 0.0601 0.4158 0.8391
77 H 0.4233 0.2789 0.3391
78 H 0.0601 0.6444 0.7211
79 H 0.6609 0.4399 0.5842
80 H 0.2789 0.8556 0.9399

Properties
DOS(E_F) = 61.7 states/eV/cell
Total magnetization = 0.002 μB/f.u.
Total energy = -4.233 eV per atom
Symmetry = No. 230

---

2.
# LaSnCl

A relaxed LaSnCl crystal (PBE, Alexandria via LeMat-Bulk).

Lattice parameters (Å, degrees): 5.8374 4.5248 9.1775 90.02 112.64 112.76
Element x y z (fractional)
1 La 0.3249 0.1625 0.7483
2 La 0.6751 0.8375 0.2517
3 Cl 0.2304 0.6155 0.9158
4 Cl 0.7696 0.3845 0.0842
5 Sn 0.6431 0.8215 0.6060
6 Sn 0.3569 0.1785 0.3940

Properties
Total magnetization = 0.000 μB/f.u.
Total energy = -4.877 eV per atom
Uncorrected formation energy = -1.28 eV/atom
Symmetry = No. 12

---

3.
# LiPr3Pa2P6

A relaxed LiPr3Pa2P6 crystal (PBE, Alexandria via LeMat-Bulk).

Lattice parameters (Å, degrees): 7.0521 7.0521 7.0946 99.52 99.52 119.97
Element x y z (fractional)
1 Li 0.0000 0.0000 0.0000
2 Pr 0.1636 0.8364 0.5000
3 Pr 0.8364 0.1636 0.5000
4 Pr 0.5000 0.5000 0.5000
5 Pa 0.3327 0.6673 0.0000
6 Pa 0.6673 0.3327 0.0000
7 P 0.9226 0.5791 0.7688
8 P 0.7334 0.7334 0.2310
9 P 0.0774 0.4209 0.2312
10 P 0.5791 0.9226 0.7688
11 P 0.2666 0.2666 0.7690
12 P 0.4209 0.0774 0.2312

Properties
DOS(E_F) = 5.7 states/eV/cell
Total magnetization = 0.000 μB/f.u.
Total energy = -6.899 eV per atom
Symmetry = No. 12
Formation energy from the elements = -1257 meV/atom

---

4.
# CsTl2PdI

A relaxed CsTl2PdI crystal (PBE, Alexandria via LeMat-Bulk).

Lattice parameters (Å, degrees): 5.3977 5.3977 6.8026 90.00 90.00 90.00
Element x y z (fractional)
1 Cs 0.0000 0.0000 0.5000
2 I 0.5000 0.5000 0.5000
3 Tl 0.0000 0.5000 0.0000
4 Tl 0.5000 0.0000 0.0000
5 Pd 0.0000 0.0000 0.0000

Properties
DOS(E_F) = 0.8 states/eV/cell
Total magnetization = 0.000 μB/f.u.
Total energy = -2.929 eV per atom
Uncorrected formation energy = -0.46 eV/atom
Symmetry = No. 123

---

5.
# Tb8Pm6Pr

A relaxed Tb8Pm6Pr crystal (PBE, Alexandria via LeMat-Bulk).

Lattice parameters (Å, degrees): 9.7477 9.7477 8.2920 54.00 54.00 60.00
Element x y z (fractional)
1 Tb 0.8704 0.3703 0.7086
2 Tb 0.9493 0.1296 0.2914
3 Tb 0.6297 0.9493 0.2914
4 Tb 0.2394 0.2394 0.2817
5 Tb 0.7606 0.7606 0.7183
6 Tb 0.3703 0.0507 0.7086
7 Tb 0.0507 0.8704 0.7086
8 Tb 0.1296 0.6297 0.2914
9 Pm 0.8276 0.5606 0.2275
10 Pm 0.6158 0.1724 0.7725
11 Pm 0.4394 0.6158 0.7725
12 Pm 0.5606 0.3842 0.2275
13 Pm 0.3842 0.8276 0.2275
14 Pm 0.1724 0.4394 0.7725
15 Pr 0.0000 0.0000 0.0000

Properties
DOS(E_F) = 21.3 states/eV/cell
Total magnetization = 0.000 μB/f.u.
Total energy = -4.529 eV per atom
Symmetry = No. 148
Formation energy from the elements = 159 meV/atom

---

What did the first record say?
# Ac3Pr5H12

A relaxed Ac3Pr5H12 crystal (PBE, Alexandria via LeMat-Bulk).

Lattice parameters (Å, degrees): 12.2845 12.2845 12.2845 109.47 109.47 109.47
Element x y z (fractional)
1 Ac 0.7500 0.3750 0.1250
2 Ac 0.8750 0.7500 0.1250
3 Ac 0.3750 0.7500 0.6250
4 Ac 0.2500 0.1250 0.3750
5 Ac 0.8750 0.1250 0.2500
6 Ac 0.3750 0.6250 0.2500
7 Ac 0.6250 0.3750 0.7500
8 Ac 0.1250 0.8750 0.7500
9 Ac 0.7500 0.8750 0.6250
10 Ac 0.6250 0.2500 0.3750
11 Ac 0.1250 0.2500 0.8750
12 Ac 0.2500 0.6250 0.8750
13 Pr 0.1250 0.3750 0.2500
14 Pr 0.0000 0.5000 0.0000
15 Pr 0.0000 0.0000 0.0000
16 Pr 0.3750 0.2500 0.1250
17 Pr 0.5000 0.0000 0.5000
18 Pr 0.5000 0.5000 0.0000
19 Pr 0.1250 0.7500 0.3750
20 Pr 0.7500 0.1250 0.8750
21 Pr 0.7500 0.6250 0.3750
22 Pr 0.3750 0.1250 0.7500
23 Pr 0.6250 0.8750 0.2500
24 Pr 0.5000 0.5000 0.5000
25 Pr 0.5000 0.0000 0.0000
26 Pr 0.0000 0.0000 0.5000
27 Pr 0.2500 0.3750 0.6250
28 Pr 0.2500 0.8750 0.1250
29 Pr 0.0000 0.5000 0.5000
30 Pr 0.8750 0.2500 0.6250
31 Pr 0.6250 0.7500 0.8750
32 Pr 0.8750 0.6250 0.7500
33 H 0.7211 0.1444 0.0601
34 H 0.3391 0.5601 0.4158
35 H 0.9399 0.3556 0.2789
36 H 0.5601 0.2211 0.1444
37 H 0.5767 0.7211 0.6609
38 H 0.9399 0.5842 0.1609
39 H 0.3391 0.7789 0.4233
40 H 0.0842 0.9233 0.1444
41 H 0.5842 0.9399 0.6609
42 H 0.7211 0.5767 0.1609
43 H 0.7789 0.4399 0.3556
44 H 0.8391 0.9158 0.0601
45 H 0.1444 0.7211 0.5601
46 H 0.3556 0.4158 0.0767
47 H 0.0767 0.9158 0.3556
48 H 0.4233 0.1444 0.5842
49 H 0.0767 0.1609 0.2211
50 H 0.4399 0.6609 0.0842
51 H 0.8391 0.9233 0.2789
52 H 0.1444 0.4233 0.0842
53 H 0.3556 0.9399 0.7789
54 H 0.5842 0.6444 0.4233
55 H 0.9158 0.8391 0.5601
56 H 0.7789 0.3391 0.9233
57 H 0.4158 0.3556 0.5767
58 H 0.0842 0.1609 0.4399
59 H 0.2211 0.6609 0.0767
60 H 0.1609 0.0767 0.7211
61 H 0.6444 0.0601 0.2211
62 H 0.8556 0.5767 0.9158
63 H 0.5601 0.3391 0.9158
64 H 0.5767 0.8556 0.4158
65 H 0.9233 0.8391 0.7789
66 H 0.9233 0.0842 0.6444
67 H 0.8556 0.2789 0.4399
68 H 0.1609 0.0842 0.9399
69 H 0.6444 0.5842 0.9233
70 H 0.4158 0.0601 0.3391
71 H 0.2789 0.4233 0.8391
72 H 0.2211 0.5601 0.6444
73 H 0.9158 0.0767 0.8556
74 H 0.6609 0.2211 0.5767
75 H 0.4399 0.7789 0.8556
76 H 0.0601 0.4158 0.8391
77 H 0.4233 0.2789 0.3391
78 H 0.0601 0.6444 0.7211
79 H 0.6609 0.4399 0.5842
80 H 0.2789 0.8556 0.9399

Properties
DOS(E_F) = 61.7 states/eV/cell
Total magnetization = 0.002 μB/f.u.
Total energy = -4.233 eV per atom
Symmetry = No. 230

---

- What is the formula in the fourth record?
  CsTl2PdI

---

- total energy of number 3 (LiPr3Pa2P6)?
  -6.899 eV per atom